The following is a PBE calculation of a geometry-optimized Sm4Y8Ho structure, from Alexandria.

Cell: 7.8094 7.8094 7.8094 Å, 90.00 90.00 90.00°
With the nearest neighbours (Å) after each atom.
Space group Pm-3m (No. 221)
Symmetry-distinct sites (fractional):
Sm 0.0000 0.0000 0.0000 x1  8 Y 3.25
Sm 0.0000 0.5000 0.5000 x3  8 Y 3.43
Y 0.2406 0.2406 0.2406 x8  4 Sm 3.25-3.43, 1 Ho 3.51
Ho 0.5000 0.5000 0.5000 x1  8 Y 3.51, 6 Sm 3.90

Values from the calculation:
final energy	-0.194	hartree per atom